1.
Entry from Alexandria: crystalline Hf2AlV at its relaxed geometry (PBE).

Results
The value obtained for the density of states at the Fermi level is 12.6 states/eV per cell. The formation energy comes out at 0.51 eV/atom. Its calculated density is 9.1 Mg/m³.

Lattice parameters (Å, degrees): 3.990 3.990 19.893 90.00 90.00 90.00
Space group I-42d (No. 122)
Unique sites:
Hf: 0.245 0.250 0.125 (multiplicity 8)
Al: 0.000 0.000 0.500 (multiplicity 4)
V: 0.000 0.000 0.000 (multiplicity 4)

2.
Entry from Alexandria: crystalline Tm4NiRu2 at its relaxed geometry (PBE).

Results
The value obtained for the density of states at the Fermi level is 10.0 states/eV per cell. The formation energy comes out at -0.41 eV/atom. Its calculated density is 10.4 Mg/m³.

Lattice parameters (Å, degrees): 4.7190 4.7190 23.1672 90.00 90.00 120.00
Space group R-3m (No. 166, hexagonal axes)
Unique sites:
Tm: 0.0000 0.0000 0.1239 (multiplicity 6)
Tm: 0.0000 0.0000 0.3742 (multiplicity 6)
Ni: 0.0000 0.0000 0.5000 (multiplicity 3)
Ru: 0.0000 0.0000 0.2475 (multiplicity 6)

What did the second record say?
Entry from Alexandria: crystalline Tm4NiRu2 at its relaxed geometry (PBE).

Results
The value obtained for the density of states at the Fermi level is 10.0 states/eV per cell. The formation energy comes out at -0.41 eV/atom. Its calculated density is 10.4 Mg/m³.

Lattice parameters (Å, degrees): 4.7190 4.7190 23.1672 90.00 90.00 120.00
Space group R-3m (No. 166, hexagonal axes)
Unique sites:
Tm: 0.0000 0.0000 0.1239 (multiplicity 6)
Tm: 0.0000 0.0000 0.3742 (multiplicity 6)
Ni: 0.0000 0.0000 0.5000 (multiplicity 3)
Ru: 0.0000 0.0000 0.2475 (multiplicity 6)